# AgP2SCl

An optimized crystal structure of AgP2SCl (PBE, the Alexandria database).

Cell lengths 4.607, 4.607, 4.987 Å; angles 90.00, 90.00, 90.00 degrees
Fractional positions:
Ag (0.000, 0.000, 0.000)
P (0.000, 0.500, 0.500)
P (0.500, 0.000, 0.500)
S (0.500, 0.500, 0.500)
Cl (0.500, 0.500, 0.000)

uncorrected formation energy: 0.880 eV per atom
spin magnetization: 0.25 μB/atom
offset from the most stable computed form: 0.000 eV/atom
mass density: 3.72 g/cm³